Below is a geometry-optimized YFeF5 structure, with properties calculated at the PBE with a Hubbard U level.

The space group is C2/c (No. 15) and the conventional cell measures 9.1093, 6.8598 and 7.6405 Å, with angles of 90.00, 114.16 and 90.00 degrees. The distinct sites, in fractional coordinates, are Y at (0.0000, 0.0507, 0.2500), Fe at (0.0000, 0.5000, 0.0000), F at (0.0000, 0.3775, 0.2500), F at (0.0086, 0.1824, 0.9636) and F at (0.2404, 0.4750, 0.6254).

The magnetic moment is 16.00 Bohr magnetons per cell. The final energy comes out at -6.46 eV per atom. Its energy relative to the lowest polymorph listed for this composition is 0.000 eV/atom. The calculated volume comes out at 108.9 Å³/f.u.